Entry 1:
DFT (PBE-GGA) results for a relaxed structure of LaTi2Sb.

Cell: 10.4083 10.4083 10.4083 Å, 155.39 155.39 35.09°
Closest atoms and distances in Å follow each position.
Fractional coordinates of all 8 atoms:
La1 0.0000 0.0000 0.0000  4 Ti 3.00, 4 Sb 3.14
La2 0.7500 0.2500 0.5000  4 Ti 3.00, 4 Sb 3.14
Ti1 0.1588 0.6250 0.0338  2 Sb 2.88, 2 Ti 2.93, 2 La 3.00
Ti2 0.3750 0.4088 0.5338  2 Sb 2.88, 2 Ti 2.93, 2 La 3.00
Ti3 0.5912 0.1250 0.9662  2 Sb 2.88, 2 Ti 2.93, 2 La 3.00
Ti4 0.8750 0.8412 0.4662  2 Sb 2.88, 2 Ti 2.93, 2 La 3.00
Sb1 0.2500 0.7500 0.5000  4 Ti 2.88, 4 La 3.14
Sb2 0.5000 0.5000 0.0000  4 Ti 2.88, 4 La 3.14

Symmetry: No. 122
Total energy: -6.13 eV/atom



Entry 2:
DFT (PBE-GGA) results for a relaxed structure of La2TiSb2.

Cell: 8.6460 8.6460 4.1132 Å, 90.00 90.00 90.00°
Closest atoms and distances in Å follow each position.
Fractional coordinates of all 10 atoms:
La1 0.1378 0.3622 0.0000  6 Sb 3.13-3.37, 2 Ti 3.35, 1 La 3.37
La2 0.3622 0.8622 0.0000  6 Sb 3.13-3.37, 2 Ti 3.35, 1 La 3.37
La3 0.6378 0.1378 0.0000  6 Sb 3.13-3.37, 2 Ti 3.35, 1 La 3.37
La4 0.8622 0.6378 0.0000  6 Sb 3.13-3.37, 2 Ti 3.35, 1 La 3.37
Ti1 0.0000 0.0000 0.0000  4 La 3.35
Ti2 0.5000 0.5000 0.0000  4 La 3.35
Sb1 0.1691 0.6691 0.5000  6 La 3.13-3.37
Sb2 0.3309 0.1691 0.5000  6 La 3.13-3.37
Sb3 0.6691 0.8309 0.5000  6 La 3.13-3.37
Sb4 0.8309 0.3309 0.5000  6 La 3.13-3.37

Symmetry: No. 127
Total energy: -5.53 eV/atom



no.,N(E_F) (states/eV/cell)
1,9.91
2,13.72